Entry from Alexandria: TlMo after structural relaxation (GGA-PBEsol).

Magnetization, μB per atom: 0.00
Crystal system: orthorhombic
Energy of formation, meV/atom: 797.5
E_tot, eV/atom: -6.402

Lattice parameters (Å, degrees): 4.6030 3.1876 5.0785 90.00 90.00 90.00
With the nearest neighbours (Å) after each atom.
Positions (direct):
Tl (0.2500, 0.0000, 0.1748)  8 Mo 2.84-3.16, 2 Tl 2.91
Tl (0.7500, 0.0000, 0.8252)  8 Mo 2.84-3.16, 2 Tl 2.91
Mo (0.2500, 0.5000, 0.6368)  2 Mo 2.69, 6 Tl 2.84-2.96
Mo (0.7500, 0.5000, 0.3632)  2 Mo 2.69, 6 Tl 2.84-2.96

***

Entry from Alexandria: Tl2Mo after structural relaxation (GGA-PBEsol).

Distance to the lowest polymorph of the same formula, meV per atom: 0
Magnetization, μB per atom: 0.00
Crystal system: tetragonal
Energy of formation, meV/atom: 517.0
E_tot, eV/atom: -5.159

Lattice parameters (Å, degrees): 4.9105 4.9105 2.9310 90.00 90.00 90.00
With the nearest neighbours (Å) after each atom.
Positions (direct):
Tl (0.0000, 0.5000, 0.0000)  4 Mo 2.86, 2 Tl 2.93
Tl (0.5000, 0.0000, 0.0000)  4 Mo 2.86, 2 Tl 2.93
Mo (0.0000, 0.0000, 0.5000)  8 Tl 2.86, 2 Mo 2.93

***

Entry from Alexandria: Tl4Mo after structural relaxation (GGA-PBEsol).

Magnetization, μB per atom: 0.00
Crystal system: tetragonal
Energy of formation, meV/atom: 524.5
E_tot, eV/atom: -3.933

Lattice parameters (Å, degrees): 6.6493 6.6493 6.6493 92.93 92.93 153.87
With the nearest neighbours (Å) after each atom.
Positions (direct):
Tl (0.0007, 0.7285, 0.7293)  2 Mo 2.91, 2 Tl 3.01
Tl (0.2715, 0.0007, 0.2722)  2 Mo 2.91, 2 Tl 3.01
Tl (0.7285, 0.9993, 0.7278)  2 Mo 2.91, 2 Tl 3.01
Tl (0.9993, 0.2715, 0.2707)  2 Mo 2.91, 2 Tl 3.01
Mo (0.5000, 0.5000, 0.0000)  8 Tl 2.91, 2 Mo 3.01

***

Entry from Alexandria: Tl3Mo after structural relaxation (GGA-PBEsol).

Magnetization, μB per atom: 0.00
Crystal system: monoclinic
Energy of formation, meV/atom: 678.5
E_tot, eV/atom: -4.236

Lattice parameters (Å, degrees): 3.0917 4.9976 5.8398 90.00 99.25 90.00
With the nearest neighbours (Å) after each atom.
Positions (direct):
Tl (0.0000, 0.0000, 0.0000)  2 Mo 2.92, 6 Tl 3.09-3.26
Tl (0.3765, 0.5000, 0.7332)  7 Tl 2.94-3.29, 2 Mo 2.99
Tl (0.6235, 0.5000, 0.2668)  7 Tl 2.94-3.29, 2 Mo 2.99
Mo (0.0000, 0.0000, 0.5000)  6 Tl 2.92-2.99, 2 Mo 3.09

***

Entry from Alexandria: TlMo3 after structural relaxation (GGA-PBEsol).

Distance to the lowest polymorph of the same formula, meV per atom: 0
Magnetization, μB per atom: 0.00
Crystal system: tetragonal
Energy of formation, meV/atom: 452.2
E_tot, eV/atom: -9.031

Lattice parameters (Å, degrees): 3.3324 3.3324 6.0863 90.00 90.00 90.00
With the nearest neighbours (Å) after each atom.
Positions (direct):
Tl (0.0000, 0.0000, 0.0000)  10 Mo 2.92-3.04
Mo (0.0000, 0.0000, 0.5000)  8 Mo 2.70
Mo (0.5000, 0.5000, 0.2844)  5 Mo 2.62-2.70, 4 Tl 2.92
Mo (0.5000, 0.5000, 0.7156)  5 Mo 2.62-2.70, 4 Tl 2.92

***

Entry from Alexandria: TlMo3 after structural relaxation (GGA-PBEsol).

Distance to the lowest polymorph of the same formula, meV per atom: 176
Magnetization, μB per atom: 0.00
Crystal system: cubic
Energy of formation, meV/atom: 627.8
E_tot, eV/atom: -8.856

Lattice parameters (Å, degrees): 4.5497 4.5497 4.5497 60.00 60.00 60.00
With the nearest neighbours (Å) after each atom.
Positions (direct):
Tl (0.0000, 0.0000, 0.0000)  8 Mo 2.79
Mo (0.2500, 0.2500, 0.2500)  4 Mo 2.79, 4 Tl 2.79
Mo (0.5000, 0.5000, 0.5000)  8 Mo 2.79
Mo (0.7500, 0.7500, 0.7500)  4 Mo 2.79, 4 Tl 2.79

***

Entry from Alexandria: Tl2Mo after structural relaxation (GGA-PBEsol).

Distance to the lowest polymorph of the same formula, meV per atom: 461
Magnetization, μB per atom: 0.00
Crystal system: hexagonal
Energy of formation, meV/atom: 977.8
E_tot, eV/atom: -4.698

Lattice parameters (Å, degrees): 5.0229 5.0229 2.8438 90.00 90.00 120.00
With the nearest neighbours (Å) after each atom.
Positions (direct):
Tl (0.3333, 0.6667, 0.0000)  5 Tl 2.84-2.90
Tl (0.6667, 0.3333, 0.0000)  5 Tl 2.84-2.90
Mo (0.0000, 0.0000, 0.5000)  2 Mo 2.84

***

Entry from Alexandria: TlMo2W after structural relaxation (GGA-PBEsol).

Distance to the lowest polymorph of the same formula, meV per atom: 1
Magnetization, μB per atom: 0.00
Crystal system: orthorhombic
Energy of formation, meV/atom: 548.6
E_tot, eV/atom: -9.445

Lattice parameters (Å, degrees): 5.3228 5.3228 5.3228 144.16 129.99 63.04
With the nearest neighbours (Å) after each atom.
Positions (direct):
Tl (0.0000, 0.0000, 0.0000)  8 Mo 2.78-3.09, 4 W 2.92-3.09
Mo (0.4971, 0.4971, 0.0000)  2 W 2.66, 2 Mo 2.70, 4 Tl 2.78
Mo (0.7336, 0.2336, 0.5000)  2 Mo 2.70, 4 W 2.80, 2 Tl 2.92
W (0.2663, 0.7663, 0.5000)  6 Mo 2.66-2.80, 2 Tl 2.92

***

Entry from Alexandria: TlMo2W after structural relaxation (GGA-PBEsol).

Distance to the lowest polymorph of the same formula, meV per atom: 210
Magnetization, μB per atom: 0.00
Crystal system: cubic
Energy of formation, meV/atom: 758.0
E_tot, eV/atom: -9.235

Lattice parameters (Å, degrees): 4.5584 4.5584 4.5584 60.00 60.00 60.00
With the nearest neighbours (Å) after each atom.
Positions (direct):
Tl (0.0000, 0.0000, 0.0000)  4 Mo 2.79, 4 W 2.79
Mo (0.5000, 0.5000, 0.5000)  4 W 2.79, 4 Mo 2.79
Mo (0.7500, 0.7500, 0.7500)  4 Mo 2.79, 4 Tl 2.79
W (0.2500, 0.2500, 0.2500)  4 Mo 2.79, 4 Tl 2.79

***

Entry from Alexandria: TlMo2W after structural relaxation (GGA-PBEsol).

Distance to the lowest polymorph of the same formula, meV per atom: 0
Magnetization, μB per atom: 0.00
Crystal system: tetragonal
Energy of formation, meV/atom: 547.9
E_tot, eV/atom: -9.445

Lattice parameters (Å, degrees): 3.3504 3.3504 6.0522 90.00 90.00 90.00
With the nearest neighbours (Å) after each atom.
Positions (direct):
Tl (0.0000, 0.0000, 0.0000)  6 Mo 2.91-3.04, 4 W 2.94
Mo (0.0000, 0.0000, 0.5018)  4 W 2.70, 4 Mo 2.71, 1 Tl 3.02
Mo (0.5000, 0.5000, 0.7197)  1 W 2.62, 4 Mo 2.71, 4 Tl 2.91
W (0.5000, 0.5000, 0.2869)  5 Mo 2.62-2.70

***

Entry from Alexandria: TlMoW after structural relaxation (GGA-PBEsol).

Magnetization, μB per atom: 0.00
Crystal system: orthorhombic
Energy of formation, meV/atom: 597.6
E_tot, eV/atom: -8.804

Lattice parameters (Å, degrees): 7.3920 7.1578 2.9105 83.02 73.97 23.01
With the nearest neighbours (Å) after each atom.
Positions (direct):
Tl (0.0000, 0.0000, 0.0000)  6 Tl 2.91-3.18, 2 Mo 2.95, 2 W 2.98
Mo (0.6777, 0.6777, 0.3223)  2 W 2.54
W (0.3196, 0.3196, 0.6804)  2 Mo 2.54

***

Entry from Alexandria: YTl2Mo after structural relaxation (GGA-PBEsol).

Distance to the lowest polymorph of the same formula, meV per atom: 0
Magnetization, μB per atom: 0.36
Crystal system: tetragonal
Energy of formation, meV/atom: 288.1
E_tot, eV/atom: -5.674

Lattice parameters (Å, degrees): 3.2755 3.2755 8.0411 90.00 90.00 90.00
With the nearest neighbours (Å) after each atom.
Positions (direct):
Y (0.0000, 0.0000, 0.0000)  8 Tl 3.21, 4 Y 3.28
Tl (0.5000, 0.5000, 0.2763)  4 Mo 2.93, 4 Y 3.21, 4 Tl 3.28
Tl (0.5000, 0.5000, 0.7237)  4 Mo 2.93, 4 Y 3.21, 4 Tl 3.28
Mo (0.0000, 0.0000, 0.5000)  8 Tl 2.93, 4 Mo 3.28

***

Entry from Alexandria: Y2TlMo after structural relaxation (GGA-PBEsol).

Magnetization, μB per atom: 0.00
Crystal system: monoclinic
Energy of formation, meV/atom: 385.4
E_tot, eV/atom: -6.625

Lattice parameters (Å, degrees): 5.3718 3.2171 5.8800 90.00 113.66 90.00
With the nearest neighbours (Å) after each atom.
Positions (direct):
Y (0.0000, 0.0000, 0.0000)  2 Tl 3.09, 4 Mo 3.13, 6 Y 3.22-3.35
Y (0.0000, 0.5000, 0.5000)  2 Mo 3.09, 4 Tl 3.13, 6 Y 3.22-3.35
Tl (0.5000, 0.0000, 0.5000)  6 Y 3.09-3.13, 2 Tl 3.22, 4 Mo 3.35
Mo (0.5000, 0.5000, 0.0000)  6 Y 3.09-3.13, 2 Mo 3.22, 4 Tl 3.35

***

Entry from Alexandria: YTl2Mo after structural relaxation (GGA-PBEsol).

Distance to the lowest polymorph of the same formula, meV per atom: 48
Magnetization, μB per atom: 0.01
Crystal system: orthorhombic
Energy of formation, meV/atom: 336.6
E_tot, eV/atom: -5.626

Lattice parameters (Å, degrees): 5.2158 5.2158 3.2955 90.00 90.00 106.99
With the nearest neighbours (Å) after each atom.
Positions (direct):
Y (0.0000, 0.0000, 0.0000)  8 Tl 3.08, 2 Mo 3.10, 2 Y 3.30
Tl (0.0000, 0.5000, 0.5000)  4 Mo 3.08, 4 Y 3.08, 4 Tl 3.10-3.30
Tl (0.5000, 0.0000, 0.5000)  4 Mo 3.08, 4 Y 3.08, 4 Tl 3.10-3.30
Mo (0.5000, 0.5000, 0.0000)  8 Tl 3.08, 2 Y 3.10, 2 Mo 3.30

***

Entry from Alexandria: TlZnMo3 after structural relaxation (GGA-PBEsol).

Magnetization, μB per atom: 0.00
Crystal system: cubic
Energy of formation, meV/atom: 2811.4
E_tot, eV/atom: -5.092

Lattice parameters (Å, degrees): 4.9041 4.9041 4.9041 90.00 90.00 90.00
With the nearest neighbours (Å) after each atom.
Positions (direct):
Tl (0.0000, 0.0000, 0.0000)  6 Mo 2.45
Zn (0.5000, 0.5000, 0.5000)  12 Mo 3.47
Mo (0.0000, 0.0000, 0.5000)  2 Tl 2.45
Mo (0.0000, 0.5000, 0.0000)  2 Tl 2.45
Mo (0.5000, 0.0000, 0.0000)  2 Tl 2.45